(A)
## Sr4MnRuO8 (PBE with a Hubbard U)

Data for a geometry-optimized Sr4MnRuO8 structure.

## Properties
Total magnetization = 3.743 μB per formula unit
Calculated volume = 13.81 A^3/atom

abc: 3.892 3.892 12.762
angles: 90.00 90.00 90.00
Space group P4/mmm (No. 123)
Unique sites:
Sr (0.000, 0.000, 0.138) x2
Sr (0.500, 0.500, 0.345) x2
Mn (0.500, 0.500, 0.000) x1
Ru (0.000, 0.000, 0.500) x1
O (0.000, 0.000, 0.338) x2
O (0.000, 0.500, 0.000) x2
O (0.000, 0.500, 0.500) x2
O (0.500, 0.500, 0.157) x2


(B)
## Sr4MnRuO8 (PBE with a Hubbard U)

Data for a geometry-optimized Sr4MnRuO8 structure.

## Properties
Total magnetization = 6.880 μB per formula unit
Calculated volume = 14.23 A^3/atom

abc: 5.653 12.471 5.652
angles: 90.00 90.00 90.00
Space group Cmmm (No. 65)
Unique sites:
Sr (0.000, 0.142, 0.000) x4
Sr (0.000, 0.356, 0.500) x4
Mn (0.000, 0.000, 0.500) x2
Ru (0.000, 0.500, 0.000) x2
O (0.000, 0.157, 0.500) x4
O (0.000, 0.338, 0.000) x4
O (0.245, 0.500, 0.245) x8


(B) is preferred energetically. Next in line: 13 meV/atom higher.


(A)
## Mn2S3O12 (PBE with a Hubbard U)

Data for a geometry-optimized Mn2S3O12 structure.

## Properties
Total magnetization = 7.863 μB per formula unit
Calculated volume = 13.59 A^3/atom

abc: 13.836 8.490 9.349
angles: 90.00 122.69 90.00
Space group C2/c (No. 15)
Unique sites:
Mn (0.111, 0.246, 0.050) x8
S (0.000, 0.022, 0.250) x4
S (0.145, 0.395, 0.656) x8
O (0.027, 0.357, 0.621) x8
O (0.057, 0.116, 0.186) x8
O (0.091, 0.079, 0.890) x8
O (0.160, 0.350, 0.523) x8
O (0.163, 0.431, 0.199) x8
O (0.225, 0.317, 0.826) x8


(B)
## Mn2S3O12 (PBE with a Hubbard U)

Data for a geometry-optimized Mn2S3O12 structure.

## Properties
Total magnetization = 7.988 μB per formula unit
Calculated volume = 12.76 A^3/atom

abc: 8.623 8.636 14.391
angles: 90.00 125.95 90.00
Space group P2_1/c (No. 14)
Unique sites:
Mn (0.129, 0.031, 0.385) x4
Mn (0.367, 0.033, 0.116) x4
S (0.059, 0.745, 0.507) x4
S (0.236, 0.122, 0.849) x4
S (0.480, 0.620, 0.859) x4
O (0.028, 0.646, 0.916) x4
O (0.055, 0.029, 0.784) x4
O (0.069, 0.675, 0.100) x4
O (0.097, 0.133, 0.054) x4
O (0.192, 0.208, 0.327) x4
O (0.249, 0.669, 0.553) x4
O (0.317, 0.073, 0.551) x4
O (0.336, 0.091, 0.973) x4
O (0.359, 0.084, 0.813) x4
O (0.363, 0.620, 0.901) x4
O (0.397, 0.508, 0.762) x4
O (0.484, 0.725, 0.313) x4


(B) is preferred energetically. Next in line: 32 meV/atom higher.


(A)
## Mn2S2O (PBE with a Hubbard U)

Data for a geometry-optimized Mn2S2O structure.

## Properties
Total magnetization = 9.992 μB per formula unit
Calculated volume = 16.57 A^3/atom

abc: 3.517 3.517 13.401
angles: 90.00 90.00 90.00
Space group I4/mmm (No. 139)
Unique sites:
Mn (0.000, 0.000, 0.100) x4
S (0.000, 0.500, 0.250) x4
O (0.000, 0.000, 0.500) x2


(B)
## Mn2S2O (PBE with a Hubbard U)

Data for a geometry-optimized Mn2S2O structure.

## Properties
Total magnetization = 9.688 μB per formula unit
Calculated volume = 16.91 A^3/atom

abc: 6.023 6.023 4.663
angles: 90.00 90.00 90.00
Space group P4/mbm (No. 127)
Unique sites:
Mn (0.242, 0.258, 0.000) x4
S (0.122, 0.622, 0.500) x4
O (0.000, 0.000, 0.000) x2


(B) is preferred energetically. Next in line: 522 meV/atom higher.


(A)
## Mn3SO (PBE with a Hubbard U)

Data for a geometry-optimized Mn3SO structure.

## Properties
Total magnetization = 13.225 μB per formula unit
Calculated volume = 16.40 A^3/atom

abc: 5.8252 5.8252 5.5816
angles: 90.00 90.00 120.00
Space group P6_322 (No. 182)
Unique sites:
Mn (0.0000, 0.3015, 0.0000) x6
S (0.3333, 0.6667, 0.7500) x2
O (0.0000, 0.0000, 0.2500) x2


(B)
## Mn3SO (PBE with a Hubbard U)

Data for a geometry-optimized Mn3SO structure.

## Properties
Total magnetization = 14.297 μB per formula unit
Calculated volume = 16.82 A^3/atom

abc: 4.381 4.381 4.381
angles: 90.00 90.00 90.00
Space group Pm-3m (No. 221)
Unique sites:
Mn (0.000, 0.000, 0.500) x3
S (0.500, 0.500, 0.500) x1
O (0.000, 0.000, 0.000) x1


(A) is preferred energetically. Next in line: 251 meV/atom higher.